Computed, not measured: an optimized crystal structure of MnSb2Br at the GGA-PBE level of DFT.

Geometry as POSCAR:
```
MnSb2Br
1.0
7.008 0.000 0.000
0.000 7.008 0.000
0.000 0.000 7.008
Mn Sb Br
4 8 4
Direct
0.000 0.000 0.000
0.000 0.500 0.500
0.500 0.000 0.500
0.500 0.500 0.000
0.250 0.250 0.250
0.250 0.250 0.750
0.250 0.750 0.250
0.250 0.750 0.750
0.750 0.250 0.250
0.750 0.250 0.750
0.750 0.750 0.250
0.750 0.750 0.750
0.000 0.000 0.500
0.000 0.500 0.000
0.500 0.000 0.000
0.500 0.500 0.500
```

Values from the calculation:
- formation energy without anion corrections (eV per atom) = 0.890
- energy above the lowest structure with this stoichiometry (eV per atom) = 0.985

***

Computed, not measured: an optimized crystal structure of MnSbBr2 at the GGA-PBE level of DFT.

Geometry as POSCAR:
```
MnSbBr2
1.0
3.849 0.000 0.000
0.000 6.231 0.000
0.000 0.000 9.392
Mn Sb Br
2 2 4
Direct
0.000 0.000 0.000
0.500 0.500 0.000
0.000 0.500 0.210
0.500 0.000 0.210
0.000 0.000 0.450
0.000 0.500 0.828
0.500 0.000 0.828
0.500 0.500 0.450
```

Values from the calculation:
- formation energy without anion corrections (eV per atom) = -0.060
- energy above the lowest structure with this stoichiometry (eV per atom) = 0.193

***

Computed, not measured: an optimized crystal structure of Mn2SbBr at the GGA-PBE level of DFT.

Geometry as POSCAR:
```
Mn2SbBr
1.0
3.497 0.000 0.000
0.000 3.745 0.000
0.000 0.000 6.876
Mn Sb Br
2 1 1
Direct
0.000 0.000 0.193
0.000 0.000 0.807
0.500 0.500 0.000
0.500 0.000 0.500
```

Values from the calculation:
- formation energy without anion corrections (eV per atom) = 0.073
- energy above the lowest structure with this stoichiometry (eV per atom) = 0.065

***

Computed, not measured: an optimized crystal structure of MnSbBr2 at the GGA-PBE level of DFT.

Geometry as POSCAR:
```
MnSbBr2
1.0
7.301 0.000 0.000
0.000 7.301 0.000
0.000 0.000 7.301
Mn Sb Br
4 4 8
Direct
0.000 0.000 0.000
0.000 0.500 0.500
0.500 0.000 0.500
0.500 0.500 0.000
0.000 0.000 0.500
0.000 0.500 0.000
0.500 0.000 0.000
0.500 0.500 0.500
0.250 0.250 0.250
0.250 0.250 0.750
0.250 0.750 0.250
0.250 0.750 0.750
0.750 0.250 0.250
0.750 0.250 0.750
0.750 0.750 0.250
0.750 0.750 0.750
```

Values from the calculation:
- formation energy without anion corrections (eV per atom) = 0.378
- energy above the lowest structure with this stoichiometry (eV per atom) = 0.631

***

Computed, not measured: an optimized crystal structure of Mn2SbBr at the GGA-PBE level of DFT.

Geometry as POSCAR:
```
Mn2SbBr
1.0
3.147 0.000 0.000
0.000 5.141 0.000
0.000 0.000 5.158
Mn Sb Br
2 1 1
Direct
0.000 0.000 0.000
0.000 0.500 0.500
0.500 0.000 0.500
0.500 0.500 0.000
```

Values from the calculation:
- formation energy without anion corrections (eV per atom) = 0.317
- energy above the lowest structure with this stoichiometry (eV per atom) = 0.309

***

Computed, not measured: an optimized crystal structure of MnSb2Br at the GGA-PBE level of DFT.

Geometry as POSCAR:
```
MnSb2Br
1.0
3.765 0.000 0.000
-1.883 3.261 0.000
0.000 0.000 28.908
Mn Sb Br
3 6 3
Direct
0.000 0.000 0.000
0.333 0.667 0.667
0.667 0.333 0.333
0.000 0.000 0.470
0.000 0.000 0.731
0.333 0.667 0.137
0.333 0.667 0.398
0.667 0.333 0.065
0.667 0.333 0.803
0.000 0.000 0.282
0.333 0.667 0.948
0.667 0.333 0.615
```

Values from the calculation:
- formation energy without anion corrections (eV per atom) = -0.036
- energy above the lowest structure with this stoichiometry (eV per atom) = 0.058

***

Computed, not measured: an optimized crystal structure of MnSbBr2 at the GGA-PBE level of DFT.

Geometry as POSCAR:
```
MnSbBr2
1.0
6.856 0.000 0.000
0.000 6.856 0.000
0.000 0.000 9.636
Mn Sb Br
4 4 8
Direct
0.000 0.000 0.000
0.000 0.500 0.250
0.500 0.000 0.750
0.500 0.500 0.500
0.000 0.000 0.500
0.000 0.500 0.750
0.500 0.000 0.250
0.500 0.500 0.000
0.137 0.250 0.125
0.250 0.637 0.375
0.250 0.863 0.875
0.363 0.250 0.625
0.637 0.750 0.625
0.750 0.137 0.875
0.750 0.363 0.375
0.863 0.750 0.125
```

Values from the calculation:
- formation energy without anion corrections (eV per atom) = 0.649
- energy above the lowest structure with this stoichiometry (eV per atom) = 0.903

***

Computed, not measured: an optimized crystal structure of MnSbBr2 at the GGA-PBE level of DFT.

Geometry as POSCAR:
```
MnSbBr2
1.0
3.434 0.000 0.000
0.000 5.106 0.000
0.000 0.000 14.841
Mn Sb Br
2 2 4
Direct
0.000 0.000 0.000
0.500 0.500 0.500
0.000 0.000 0.500
0.500 0.500 0.000
0.000 0.500 0.363
0.000 0.500 0.637
0.500 0.000 0.137
0.500 0.000 0.863
```

Values from the calculation:
- formation energy without anion corrections (eV per atom) = -0.095
- energy above the lowest structure with this stoichiometry (eV per atom) = 0.158